Here is a relaxed Pm3Ho4TmS8 crystal from the Alexandria database. Energies are from PBE.

Unit cell a=7.8912 b=7.8912 c=7.8912 alpha=59.72 beta=59.72 gamma=59.72
With the nearest neighbours (Å) after each atom.
Fractional coordinates of all 16 atoms:
Pm1 0.0000 0.5000 0.5000  6 S 2.84
Pm2 0.5000 0.0000 0.5000  6 S 2.84
Pm3 0.5000 0.5000 0.0000  6 S 2.84
Ho1 0.0000 0.0000 0.5000  6 S 2.73
Ho2 0.0000 0.5000 0.0000  6 S 2.73
Ho3 0.5000 0.0000 0.0000  6 S 2.73
Ho4 0.5000 0.5000 0.5000  6 S 2.80
Tm1 0.0000 0.0000 0.0000  6 S 2.77
S1 0.2388 0.7515 0.7515  3 Ho 2.73-2.80, 1 Tm 2.77, 2 Pm 2.84
S2 0.2450 0.2450 0.2450  3 Ho 2.73, 3 Pm 2.84
S3 0.2485 0.2485 0.7612  3 Ho 2.73-2.80, 1 Tm 2.77, 2 Pm 2.84
S4 0.2485 0.7612 0.2485  3 Ho 2.73-2.80, 1 Tm 2.77, 2 Pm 2.84
S5 0.7515 0.2388 0.7515  3 Ho 2.73-2.80, 1 Tm 2.77, 2 Pm 2.84
S6 0.7515 0.7515 0.2388  3 Ho 2.73-2.80, 1 Tm 2.77, 2 Pm 2.84
S7 0.7550 0.7550 0.7550  3 Ho 2.73, 3 Pm 2.84
S8 0.7612 0.2485 0.2485  3 Ho 2.73-2.80, 1 Tm 2.77, 2 Pm 2.84

Fermi-level density of states = 8.173 states/eV/f.u.
raw formation energy = -31.8 eV/f.u.

=====

Here is a relaxed PuMgUIr crystal from the Alexandria database. Energies are from PBE.

Unit cell a=4.7990 b=4.7990 c=4.7990 alpha=60.00 beta=60.00 gamma=60.00
With the nearest neighbours (Å) after each atom.
Fractional coordinates of all 4 atoms:
Pu1 0.0000 0.0000 0.0000  4 U 2.94, 4 Mg 2.94
Mg1 0.2500 0.2500 0.2500  4 Ir 2.94, 4 Pu 2.94
U1 0.7500 0.7500 0.7500  4 Ir 2.94, 4 Pu 2.94
Ir1 0.5000 0.5000 0.5000  4 Mg 2.94, 4 U 2.94

Fermi-level density of states = 8.891 states/eV/f.u.
ΔH_f (0 K) = -180 meV/atom

=====

Here is a relaxed BaAlW2 crystal from the Alexandria database. Energies are from PBE.

Unit cell a=3.3328 b=4.7197 c=6.6168 alpha=90.00 beta=100.08 gamma=90.00
With the nearest neighbours (Å) after each atom.
Fractional coordinates of all 4 atoms:
Ba1 0.0000 0.0000 0.0000  2 Ba 3.33, 2 Al 3.43, 4 W 3.63
Al1 0.5000 0.0000 0.5000  4 W 2.66
W1 0.2994 0.5000 0.6370  2 W 2.43-2.45, 2 Al 2.66
W2 0.7006 0.5000 0.3630  2 W 2.43-2.45, 2 Al 2.66

Fermi-level density of states = 3.563 states/eV/f.u.
ΔH_f (0 K) = 801 meV/atom

=====

Here is a relaxed Al2AgAu crystal from the Alexandria database. Energies are from PBE.

Unit cell a=4.6288 b=4.6288 c=4.6288 alpha=60.00 beta=60.00 gamma=60.00
With the nearest neighbours (Å) after each atom.
Fractional coordinates of all 4 atoms:
Al1 0.0000 0.0000 0.0000  4 Al 2.83, 4 Au 2.83
Al2 0.2500 0.2500 0.2500  4 Ag 2.83, 4 Al 2.83
Ag1 0.5000 0.5000 0.5000  4 Al 2.83, 4 Au 2.83
Au1 0.7500 0.7500 0.7500  4 Al 2.83, 4 Ag 2.83

Fermi-level density of states = 2.877 states/eV/f.u.
ΔH_f (0 K) = 26 meV/atom

=====

Here is a relaxed Ac2MnSn4Pt3 crystal from the Alexandria database. Energies are from PBE.

Unit cell a=4.6210 b=4.6210 c=11.1984 alpha=90.00 beta=90.00 gamma=90.00
With the nearest neighbours (Å) after each atom.
Fractional coordinates of all 10 atoms:
Ac1 0.0000 0.5000 0.2458  8 Sn 3.52-3.67, 6 Pt 3.55-3.59, 2 Mn 3.59
Ac2 0.5000 0.0000 0.7542  8 Sn 3.52-3.67, 6 Pt 3.55-3.59, 2 Mn 3.59
Mn1 0.5000 0.5000 0.0000  4 Sn 2.73
Sn1 0.0000 0.0000 0.5000  4 Pt 2.73
Sn2 0.0000 0.5000 0.8706  3 Pt 2.69-2.73, 2 Mn 2.73
Sn3 0.5000 0.0000 0.1294  3 Pt 2.69-2.73, 2 Mn 2.73
Sn4 0.5000 0.5000 0.5000  4 Pt 2.73
Pt1 0.0000 0.0000 0.0000  4 Sn 2.73
Pt2 0.0000 0.5000 0.6301  5 Sn 2.69-2.73
Pt3 0.5000 0.0000 0.3699  5 Sn 2.69-2.73

Fermi-level density of states = 5.649 states/eV/f.u.
ΔH_f (0 K) = -762 meV/atom

=====

Here is a relaxed TiNb crystal from the Alexandria database. Energies are from PBE.

Unit cell a=6.3891 b=6.1898 c=5.4723 alpha=66.11 beta=62.35 gamma=51.55
With the nearest neighbours (Å) after each atom.
Fractional coordinates of all 8 atoms:
Ti1 0.0470 0.7030 0.7030  1 Ti 2.55, 4 Nb 2.62-2.81
Ti2 0.2970 0.9530 0.9530  1 Ti 2.55, 4 Nb 2.62-2.81
Ti3 0.7030 0.0470 0.0470  1 Ti 2.55, 4 Nb 2.62-2.81
Ti4 0.9530 0.2970 0.2970  1 Ti 2.55, 4 Nb 2.62-2.81
Nb1 0.2006 0.5494 0.2006  6 Ti 2.62-2.92, 1 Nb 2.81
Nb2 0.4506 0.7994 0.4506  6 Ti 2.62-2.92, 1 Nb 2.81
Nb3 0.5494 0.2006 0.5494  6 Ti 2.62-2.92, 1 Nb 2.81
Nb4 0.7994 0.4506 0.7994  6 Ti 2.62-2.92, 1 Nb 2.81

Fermi-level density of states = 2.343 states/eV/f.u.
ΔH_f (0 K) = 457 meV/atom

=====

Here is a relaxed Rb3Dy2ScS6 crystal from the Alexandria database. Energies are from PBE.

Unit cell a=6.9484 b=6.9484 c=8.0060 alpha=98.32 beta=98.32 gamma=120.00
With the nearest neighbours (Å) after each atom.
Fractional coordinates of all 12 atoms:
Rb1 0.0000 0.0000 0.0000  6 S 3.30-3.38
Rb2 0.3317 0.6683 0.0000  6 S 3.30-3.37
Rb3 0.6683 0.3317 0.0000  6 S 3.30-3.37
Dy1 0.1665 0.8335 0.5000  6 S 2.77
Dy2 0.8335 0.1665 0.5000  6 S 2.77
Sc1 0.5000 0.5000 0.5000  6 S 2.66
S1 0.1157 0.4371 0.3115  1 Sc 2.66, 2 Dy 2.77
S2 0.2416 0.2416 0.6891  1 Sc 2.66, 2 Dy 2.77
S3 0.4371 0.1157 0.3115  1 Sc 2.66, 2 Dy 2.77
S4 0.5629 0.8843 0.6885  1 Sc 2.66, 2 Dy 2.77
S5 0.7584 0.7584 0.3109  1 Sc 2.66, 2 Dy 2.77
S6 0.8843 0.5629 0.6885  1 Sc 2.66, 2 Dy 2.77

Fermi-level density of states = 0.000 states/eV/f.u.
raw formation energy = -21.6 eV/f.u.

=====

Here is a relaxed Tb3TiAg3Se8 crystal from the Alexandria database. Energies are from PBE.

Unit cell a=8.1423 b=8.1423 c=8.1656 alpha=120.03 beta=120.03 gamma=60.06
With the nearest neighbours (Å) after each atom.
Fractional coordinates of all 15 atoms:
Tb1 0.0000 0.0000 0.0000  6 Se 2.88-2.89
Tb2 0.0000 0.5000 0.5000  6 Se 2.88-2.89
Tb3 0.5000 0.0000 0.5000  6 Se 2.88-2.89
Ti1 0.5000 0.5000 0.0000  6 Se 2.63
Ag1 0.0000 0.5000 0.0000  6 Se 2.89-2.90
Ag2 0.5000 0.0000 0.0000  6 Se 2.89-2.90
Ag3 0.5000 0.5000 0.5000  6 Se 2.87-2.90
Se1 0.2502 0.2502 0.2511  3 Ag 2.87-2.89, 3 Tb 2.88
Se2 0.2710 0.2710 0.7696  1 Ti 2.63, 2 Tb 2.89, 2 Ag 2.90
Se3 0.2711 0.7291 0.2277  1 Ti 2.63, 2 Tb 2.89, 2 Ag 2.89-2.90
Se4 0.2709 0.7289 0.7723  1 Ti 2.63, 2 Tb 2.89, 2 Ag 2.89-2.90
Se5 0.7291 0.2711 0.2277  1 Ti 2.63, 2 Tb 2.89, 2 Ag 2.89-2.90
Se6 0.7289 0.2709 0.7723  1 Ti 2.63, 2 Tb 2.89, 2 Ag 2.89-2.90
Se7 0.7290 0.7290 0.2304  1 Ti 2.63, 2 Tb 2.89, 2 Ag 2.90
Se8 0.7498 0.7498 0.7489  3 Ag 2.87-2.89, 3 Tb 2.88

raw formation energy = -16.8 eV/f.u.

=====

Here is a relaxed CePm6Sm4 crystal from the Alexandria database. Energies are from PBE.

Unit cell a=10.0084 b=10.0084 c=10.0084 alpha=141.68 beta=141.68 gamma=55.31
With the nearest neighbours (Å) after each atom.
Fractional coordinates of all 11 atoms:
Ce1 0.0000 0.0000 0.0000  4 Pm 3.28, 4 Sm 3.63
Pm1 0.0000 0.5000 0.5000  2 Ce 3.28, 4 Pm 3.34
Pm2 0.1858 0.1858 0.6326  3 Pm 3.34-3.41, 5 Sm 3.37-3.53
Pm3 0.4468 0.8142 0.0000  3 Pm 3.34-3.41, 5 Sm 3.37-3.53
Pm4 0.5000 0.0000 0.5000  2 Ce 3.28, 4 Pm 3.34
Pm5 0.5532 0.5532 0.3674  3 Pm 3.34-3.41, 5 Sm 3.37-3.53
Pm6 0.8142 0.4468 0.0000  3 Pm 3.34-3.41, 5 Sm 3.37-3.53
Sm1 0.0102 0.6313 0.0000  5 Pm 3.37-3.53, 1 Sm 3.52, 1 Ce 3.63
Sm2 0.3687 0.3687 0.3788  5 Pm 3.37-3.53, 1 Sm 3.52, 1 Ce 3.63
Sm3 0.6313 0.0102 0.0000  5 Pm 3.37-3.53, 1 Sm 3.52, 1 Ce 3.63
Sm4 0.9898 0.9898 0.6212  5 Pm 3.37-3.53, 1 Sm 3.52, 1 Ce 3.63

Fermi-level density of states = 20.294 states/eV/f.u.
ΔH_f (0 K) = 300 meV/atom

=====

Here is a relaxed Tl2MoAs crystal from the Alexandria database. Energies are from PBE.

Unit cell a=2.9772 b=2.9772 c=9.9889 alpha=90.00 beta=90.00 gamma=90.00
With the nearest neighbours (Å) after each atom.
Fractional coordinates of all 4 atoms:
Tl1 0.0000 0.0000 0.2313  4 Tl 2.98, 4 Mo 3.13
Tl2 0.0000 0.0000 0.7687  4 Tl 2.98, 4 Mo 3.13
Mo1 0.5000 0.5000 0.0000  4 Mo 2.98, 8 Tl 3.13
As1 0.5000 0.5000 0.5000  4 As 2.98

Fermi-level density of states = 3.933 states/eV/f.u.
ΔH_f (0 K) = 789 meV/atom

=====

Here is a relaxed AlAu2Se crystal from the Alexandria database. Energies are from PBE.

Unit cell a=4.5872 b=4.5872 c=3.7726 alpha=90.00 beta=90.00 gamma=107.05
With the nearest neighbours (Å) after each atom.
Fractional coordinates of all 4 atoms:
Al1 0.0000 0.0000 0.0000  2 Se 2.73, 8 Au 2.97
Au1 0.0000 0.5000 0.5000  2 Au 2.73, 4 Se 2.97, 4 Al 2.97
Au2 0.5000 0.0000 0.5000  2 Au 2.73, 4 Se 2.97, 4 Al 2.97
Se1 0.5000 0.5000 0.0000  2 Al 2.73, 8 Au 2.97

Fermi-level density of states = 2.140 states/eV/f.u.
raw formation energy = 0.3 eV/f.u.